Record 1
The following is a DFT calculation (PBE) of a geometry-optimized Ho2Sc2Rh structure.

Output
E_tot = -123.885 eV for the cell shown
formation energy from the elements = -360 meV/atom
volume = 24.9 Å³ per atom

a = 11.866 Å, b = 6.587 Å, c = 6.652 Å
α = 90.00°, β = 106.96°, γ = 90.00°
Space group C2/c (No. 15)
Unique sites:
Ho 0.148 0.096 0.103 (multiplicity 8)
Sc 0.114 0.396 0.478 (multiplicity 8)
Rh 0.000 0.291 0.750 (multiplicity 4)

Record 2
The following is a DFT calculation (PBE) of a geometry-optimized HoSc2Rh3 structure.

Output
E_tot = -45.075 eV for the cell shown
formation energy from the elements = -963 meV/atom
volume = 17.9 Å³ per atom

a = 4.6516 Å, b = 4.6516 Å, c = 5.7167 Å
α = 90.00°, β = 90.00°, γ = 120.00°
Space group P-3m1 (No. 164)
Unique sites:
Ho 0.0000 0.0000 0.0000 (multiplicity 1)
Sc 0.3333 0.6667 0.6600 (multiplicity 2)
Rh 0.0000 0.0000 0.5000 (multiplicity 1)
Rh 0.3333 0.6667 0.1768 (multiplicity 2)

Record 3
The following is a DFT calculation (PBE) of a geometry-optimized Ho2ScSi2Rh5 structure.

Output
E_tot = -146.723 eV for the cell shown
volume = 16.9 Å³ per atom
E_form (uncorrected) = -1.027 eV per atom

a = 9.844 Å, b = 9.844 Å, c = 3.480 Å
α = 90.00°, β = 90.00°, γ = 90.00°
Space group P4/mbm (No. 127)
Unique sites:
Ho 0.174 0.326 0.000 (multiplicity 4)
Sc 0.000 0.000 0.000 (multiplicity 2)
Si 0.124 0.624 0.000 (multiplicity 4)
Rh 0.000 0.500 0.500 (multiplicity 2)
Rh 0.069 0.784 0.500 (multiplicity 8)

Record 4
The following is a DFT calculation (PBE) of a geometry-optimized SmHoScRh structure.

Output
E_tot = -94.623 eV for the cell shown
formation energy from the elements = -169 meV/atom
volume = 23.5 Å³ per atom

a = 7.213 Å, b = 7.213 Å, c = 7.213 Å
α = 90.00°, β = 90.00°, γ = 90.00°
Space group F-43m (No. 216)
Unique sites:
Sm 0.000 0.000 0.000 (multiplicity 4)
Ho 0.000 0.000 0.500 (multiplicity 4)
Sc 0.250 0.250 0.750 (multiplicity 4)
Rh 0.250 0.250 0.250 (multiplicity 4)